This record from Alexandria describes a relaxed AlGaAu2S4 crystal. The functional is GGA-PBE.

Unit cell a=5.677 b=5.677 c=10.704 alpha=90.00 beta=90.00 gamma=90.00
Space group I-4 (No. 82)
Unique sites:
Al 0.000 0.000 0.000 [2 per cell]
Ga 0.000 0.500 0.750 [2 per cell]
Au 0.000 0.000 0.500 [2 per cell]
Au 0.000 0.500 0.250 [2 per cell]
S 0.216 0.248 0.876 [8 per cell]

Output
As for the crystal system: tetragonal. The total energy comes out at -4.201 eV/atom. As for the raw formation energy: -0.471 eV per atom.


This record from Alexandria describes a relaxed ScAlGaAu crystal. The functional is GGA-PBE.

Unit cell a=4.066 b=4.103 c=4.230 alpha=90.00 beta=90.00 gamma=90.00
Space group Pmmm (No. 47)
Unique sites:
Sc 0.000 0.000 0.000 [1 per cell]
Al 0.000 0.500 0.500 [1 per cell]
Ga 0.500 0.500 0.000 [1 per cell]
Au 0.500 0.000 0.500 [1 per cell]

Output
As for the crystal system: orthorhombic. The total energy comes out at -4.664 eV/atom. For the energy above the most stable polymorph in this dataset, the calculation gives 0 meV per atom. For the formation energy, the calculation gives -569 meV per atom.